Entry 1:
Compound: CaMnP
Source: Alexandria
Functional: PBEsol
Structure: optimized geometry

Summary:
Space group: F-43m
Mass density (Mg/m³): 3.7
DOS(E_F) (states/eV/atom): 1.234
DFT formation energy (eV per atom): -0.0052

Geometry as POSCAR:
```
CaMnP
1.0
0.000 3.056 3.056
3.056 0.000 3.056
3.056 3.056 0.000
Ca Mn P
1 1 1
direct
0.000 0.000 0.000 Ca
0.750 0.750 0.750 Mn
0.500 0.500 0.500 P
```

Entry 2:
Compound: SiP3Pb
Source: Alexandria
Functional: PBEsol
Structure: optimized geometry

Summary:
Space group: Pm-3m
Raw formation energy (meV/atom): 467
Mass density (Mg/m³): 5.7
DOS(E_F) (states/eV/atom): 0.691

Geometry as POSCAR:
```
SiP3Pb
1.0
4.581 0.000 0.000
0.000 4.581 0.000
0.000 0.000 4.581
Si P Pb
1 3 1
direct
0.000 0.000 0.000 Si
0.000 0.000 0.500 P
0.000 0.500 0.000 P
0.500 0.000 0.000 P
0.500 0.500 0.500 Pb
```

Entry 3:
Compound: CdOs3N
Source: Alexandria
Functional: PBEsol
Structure: optimized geometry

Summary:
Space group: Pm-3m
Raw formation energy (meV/atom): 4596
Mass density (Mg/m³): 10.0
DOS(E_F) (states/eV/atom): 1.576

Geometry as POSCAR:
```
CdOs3N
1.0
4.866 0.000 0.000
0.000 4.866 0.000
0.000 0.000 4.866
Cd Os N
1 3 1
direct
0.000 0.000 0.000 Cd
0.000 0.000 0.500 Os
0.000 0.500 0.000 Os
0.500 0.000 0.000 Os
0.500 0.500 0.500 N
```

Entry 4:
Compound: CaTaC3
Source: Alexandria
Functional: PBEsol
Structure: optimized geometry

Summary:
Space group: Pm-3m
Mass density (Mg/m³): 6.8
DOS(E_F) (states/eV/atom): 0.563
DFT formation energy (eV per atom): 3.0300

Geometry as POSCAR:
```
CaTaC3
1.0
3.965 0.000 0.000
0.000 3.965 0.000
0.000 0.000 3.965
Ca Ta C
1 1 3
direct
0.000 0.000 0.000 Ca
0.500 0.500 0.500 Ta
0.000 0.000 0.500 C
0.000 0.500 0.000 C
0.500 0.000 0.000 C
```